# Li5AuO4

Li5AuO4 after structural relaxation (GGA-PBE, Alexandria via LeMat-Bulk).

```
Li5AuO4
1.0
2.5502 -2.7190 0.0000
2.5502 2.7190 0.0000
-1.4404 0.0000 15.0881
Li Au O
10 2 8
direct
0.0435 0.0785 0.9146
0.0785 0.0435 0.4146
0.2480 0.7520 0.7500
0.4243 0.4536 0.0857
0.4536 0.4243 0.5857
0.5464 0.5757 0.4143
0.5757 0.5464 0.9143
0.7520 0.2480 0.2500
0.9215 0.9565 0.5854
0.9565 0.9215 0.0854
0.2515 0.7485 0.2500
0.7485 0.2515 0.7500
0.0235 0.5206 0.3547
0.0937 0.5958 0.9641
0.4042 0.9063 0.5359
0.4794 0.9765 0.1453
0.5206 0.0235 0.8547
0.5958 0.0937 0.4641
0.9063 0.4042 0.0359
0.9765 0.4794 0.6453
```

Computed properties:
The value obtained for the total energy is -46.3 eV per formula unit. As for the volume: 209 Å³ per cell. The distance to the lowest polymorph of the same formula comes out at 161 meV/atom. For the density of states at the Fermi level, the calculation gives 0.0000 states/eV/atom. Its formation energy without anion corrections is -1358.7 meV per atom.